Here is a relaxed Tl2SbPbF6 crystal from Alexandria. Energies are from PBE.

DFT total energy, eV/cell: -42.50
Crystal system: triclinic
Mass density, Mg/m³: 6.6
Density of states at the Fermi level, states/eV/f.u.: 4.527
Energy relative to the elements, uncorrected, eV/atom: -1.87

a = 6.7029 Å, b = 6.7054 Å, c = 6.7100 Å
α = 90.06°, β = 119.86°, γ = 119.83°
With the nearest neighbours (Å) after each atom.
Atoms (fractional coordinates):
Tl1 0.0003 0.2505 0.2498  12 F 3.35-3.37
Tl2 0.9997 0.7495 0.7502  12 F 3.35-3.37
Sb1 0.5000 0.0000 0.5000  6 F 2.24
Pb1 0.5000 0.5000 0.0000  6 F 2.51-2.52
F1 0.0286 0.7647 0.2648  1 Sb 2.24
F2 0.4989 0.7630 0.2644  1 Sb 2.24
F3 0.4999 0.2353 0.2638  1 Sb 2.24
F4 0.5001 0.7647 0.7362  1 Sb 2.24
F5 0.5011 0.2370 0.7356  1 Sb 2.24
F6 0.9714 0.2353 0.7352  1 Sb 2.24